The following is a DFT calculation (PBE) of a relaxed structure of TbTaO4.

- Crystal system: monoclinic
- Raw formation energy: -3.26 eV/atom

Cell: 6.586 6.586 5.109 Å, 110.42 110.42 115.17°
Fractional positions:
Tb  0.131  0.869  0.750
Tb  0.869  0.131  0.250
Ta  0.399  0.601  0.250
Ta  0.601  0.399  0.750
O  0.135  0.553  0.341
O  0.225  0.288  0.789
O  0.288  0.225  0.289
O  0.447  0.865  0.159
O  0.553  0.135  0.841
O  0.712  0.775  0.711
O  0.775  0.712  0.211
O  0.865  0.447  0.659

The following is a DFT calculation (PBE) of a relaxed structure of Tb2TaO.

- Crystal system: trigonal
- Raw formation energy: -0.78 eV/atom

Cell: 9.063 9.063 9.063 Å, 20.67 20.67 20.67°
Fractional positions:
Tb  0.111  0.111  0.111
Tb  0.889  0.889  0.889
Ta  0.000  0.000  0.000
O  0.500  0.500  0.500

The following is a DFT calculation (PBE) of a relaxed structure of TbTaO4.

- Crystal system: monoclinic
- Raw formation energy: -3.25 eV/atom

Cell: 7.616 5.365 7.628 Å, 90.00 98.63 90.00°
Fractional positions:
Tb  0.147  0.220  0.390
Tb  0.147  0.280  0.890
Tb  0.853  0.720  0.110
Tb  0.853  0.780  0.610
Ta  0.336  0.730  0.187
Ta  0.336  0.770  0.687
Ta  0.664  0.230  0.313
Ta  0.664  0.270  0.813
O  0.111  0.514  0.172
O  0.111  0.986  0.672
O  0.175  0.003  0.120
O  0.175  0.497  0.620
O  0.330  0.631  0.938
O  0.330  0.869  0.438
O  0.435  0.097  0.807
O  0.435  0.403  0.307
O  0.565  0.597  0.693
O  0.565  0.903  0.193
O  0.670  0.131  0.562
O  0.670  0.369  0.062
O  0.825  0.503  0.380
O  0.825  0.997  0.880
O  0.889  0.014  0.328
O  0.889  0.486  0.828

The following is a DFT calculation (PBE) of a relaxed structure of Tb2TaO6.

- Crystal system: tetragonal
- Raw formation energy: -3.01 eV/atom

Cell: 5.073 5.073 10.162 Å, 90.00 90.00 90.00°
Fractional positions:
Tb  0.000  0.000  0.169
Tb  0.000  0.000  0.831
Tb  0.500  0.500  0.331
Tb  0.500  0.500  0.669
Ta  0.000  0.000  0.500
Ta  0.500  0.500  0.000
O  0.186  0.186  0.353
O  0.186  0.186  0.647
O  0.219  0.219  0.000
O  0.281  0.719  0.500
O  0.314  0.686  0.147
O  0.314  0.686  0.853
O  0.686  0.314  0.147
O  0.686  0.314  0.853
O  0.719  0.281  0.500
O  0.781  0.781  0.000
O  0.814  0.814  0.353
O  0.814  0.814  0.647

The following is a DFT calculation (PBE) of a relaxed structure of Tb3TaO7.

- Crystal system: orthorhombic
- Raw formation energy: -3.41 eV/atom
- E above lowest polymorph: 0 meV per atom

Cell: 6.533 6.533 7.499 Å, 90.00 90.00 108.57°
Fractional positions:
Tb  0.035  0.500  0.260
Tb  0.038  0.038  0.000
Tb  0.500  0.035  0.740
Tb  0.500  0.965  0.240
Tb  0.962  0.962  0.500
Tb  0.965  0.500  0.760
Ta  0.498  0.498  0.500
Ta  0.502  0.502  0.000
O  0.129  0.871  0.750
O  0.140  0.860  0.250
O  0.172  0.417  0.977
O  0.195  0.453  0.545
O  0.417  0.172  0.023
O  0.433  0.567  0.250
O  0.453  0.195  0.455
O  0.547  0.805  0.955
O  0.567  0.433  0.750
O  0.583  0.828  0.523
O  0.805  0.547  0.045
O  0.828  0.583  0.477
O  0.860  0.140  0.750
O  0.871  0.129  0.250

The following is a DFT calculation (PBE) of a relaxed structure of TbTaO4.

- Crystal system: monoclinic
- Raw formation energy: -3.19 eV/atom

Cell: 5.908 5.021 5.830 Å, 90.00 110.18 90.00°
Fractional positions:
Tb  0.000  0.000  0.000
Tb  0.000  0.500  0.500
Ta  0.500  0.000  0.500
Ta  0.500  0.500  0.000
O  0.177  0.157  0.383
O  0.177  0.343  0.883
O  0.380  0.714  0.685
O  0.380  0.786  0.185
O  0.620  0.214  0.815
O  0.620  0.286  0.315
O  0.823  0.657  0.117
O  0.823  0.843  0.617

The following is a DFT calculation (PBE) of a relaxed structure of TbTaO4.

- Crystal system: monoclinic
- Raw formation energy: -3.27 eV/atom

Cell: 5.169 5.536 5.359 Å, 90.00 96.58 90.00°
Fractional positions:
Tb  0.000  0.233  0.250
Tb  0.000  0.767  0.750
Ta  0.500  0.308  0.750
Ta  0.500  0.692  0.250
O  0.250  0.086  0.602
O  0.250  0.914  0.102
O  0.269  0.436  0.994
O  0.269  0.564  0.494
O  0.731  0.436  0.506
O  0.731  0.564  0.006
O  0.750  0.086  0.898
O  0.750  0.914  0.398

The following is a DFT calculation (PBE) of a relaxed structure of Tb3TaO7.

- Crystal system: orthorhombic
- Raw formation energy: -3.39 eV/atom
- E above lowest polymorph: 24 meV per atom

Cell: 6.488 6.488 7.546 Å, 90.00 90.00 69.46°
Fractional positions:
Tb  0.000  0.000  0.000
Tb  0.000  0.000  0.500
Tb  0.058  0.483  0.750
Tb  0.483  0.058  0.250
Tb  0.517  0.942  0.750
Tb  0.942  0.517  0.250
Ta  0.500  0.500  0.000
Ta  0.500  0.500  0.500
O  0.112  0.153  0.250
O  0.153  0.112  0.750
O  0.179  0.563  0.035
O  0.179  0.563  0.465
O  0.423  0.577  0.750
O  0.437  0.821  0.035
O  0.437  0.821  0.465
O  0.563  0.179  0.535
O  0.563  0.179  0.965
O  0.577  0.423  0.250
O  0.821  0.437  0.535
O  0.821  0.437  0.965
O  0.847  0.888  0.250
O  0.888  0.847  0.750